## Y2Ni (PBE)

Data for crystalline Y2Ni at its relaxed geometry.

abc: 9.294 9.294 9.294
angles: 60.00 60.00 60.00
Sites, in units of the cell vectors:
1 Ni 0.724 0.829 0.724
2 Y 0.688 0.562 0.062
3 Y 0.062 0.188 0.688
4 Y 0.062 0.562 0.688
5 Y 0.688 0.562 0.688
6 Ni 0.276 0.171 0.276
7 Y 0.500 0.000 0.000
8 Y 0.688 0.188 0.062
9 Y 0.938 0.812 0.312
10 Ni 0.724 0.224 0.724
11 Y 0.312 0.438 0.938
12 Ni 0.276 0.776 0.671
13 Ni 0.724 0.224 0.329
14 Y 0.312 0.812 0.938
15 Y 0.500 0.000 0.500
16 Y 0.938 0.438 0.312
17 Y 0.000 0.000 0.500
18 Ni 0.276 0.776 0.276
19 Y 0.062 0.188 0.062
20 Ni 0.671 0.776 0.276
21 Ni 0.329 0.224 0.724
22 Y 0.312 0.438 0.312
23 Y 0.500 0.500 0.500
24 Y 0.938 0.812 0.938

**Electronic total energy**: -6.46 eV/atom